This record from the Alexandria database describes a relaxed structure of Mg8AlPb2. The functional is PBE-GGA.

Unit cell a=4.6286 b=4.6286 c=12.4528 alpha=90.00 beta=90.00 gamma=90.00
Fractional positions:
Mg  0.0000  0.0000  0.1833
Mg  0.0000  0.0000  0.8167
Mg  0.0000  0.5000  0.0000
Mg  0.0000  0.5000  0.3670
Mg  0.0000  0.5000  0.6330
Mg  0.5000  0.0000  0.0000
Mg  0.5000  0.0000  0.3670
Mg  0.5000  0.0000  0.6330
Al  0.5000  0.5000  0.5000
Pb  0.5000  0.5000  0.1799
Pb  0.5000  0.5000  0.8201

Calculated values
energy: -2.171 eV/atom
SG: P4/mmm
formation energy: 0.0030 eV/atom
relative energy among the computed polymorphs: 0.0 meV/atom

***

This record from the Alexandria database describes a relaxed structure of Mg16Al12Pb. The functional is PBE-GGA.

Unit cell a=9.1626 b=9.1626 c=9.1626 alpha=109.47 beta=109.47 gamma=109.47
Fractional positions:
Mg  0.0000  0.0000  0.6486
Mg  0.0000  0.4012  0.6842
Mg  0.0000  0.6486  0.0000
Mg  0.0000  0.6842  0.4012
Mg  0.2831  0.5988  0.5988
Mg  0.3158  0.3158  0.7169
Mg  0.3158  0.7169  0.3158
Mg  0.3514  0.3514  0.3514
Mg  0.4012  0.0000  0.6842
Mg  0.4012  0.6842  0.0000
Mg  0.5988  0.2831  0.5988
Mg  0.5988  0.5988  0.2831
Mg  0.6486  0.0000  0.0000
Mg  0.6842  0.0000  0.4012
Mg  0.6842  0.4012  0.0000
Mg  0.7169  0.3158  0.3158
Al  0.0000  0.1884  0.3736
Al  0.0000  0.3736  0.1884
Al  0.1852  0.8116  0.8116
Al  0.1884  0.0000  0.3736
Al  0.1884  0.3736  0.0000
Al  0.3736  0.0000  0.1884
Al  0.3736  0.1884  0.0000
Al  0.6264  0.6264  0.8148
Al  0.6264  0.8148  0.6264
Al  0.8116  0.1852  0.8116
Al  0.8116  0.8116  0.1852
Al  0.8148  0.6264  0.6264
Pb  0.0000  0.0000  0.0000

Calculated values
energy: -2.559 eV/atom
SG: I-43m
formation energy: -0.0024 eV/atom
relative energy among the computed polymorphs: 14.9 meV/atom

***

This record from the Alexandria database describes a relaxed structure of Mg2AlPb. The functional is PBE-GGA.

Unit cell a=10.3204 b=10.3204 c=10.3204 alpha=18.20 beta=18.20 gamma=18.20
Fractional positions:
Mg  0.2418  0.2418  0.2418
Mg  0.7582  0.7582  0.7582
Al  0.5000  0.5000  0.5000
Pb  0.0000  0.0000  0.0000

Calculated values
energy: -2.634 eV/atom
SG: R-3m
formation energy: 0.0261 eV/atom

***

This record from the Alexandria database describes a relaxed structure of Mg14AlPb. The functional is PBE-GGA.

Unit cell a=6.3774 b=6.3774 c=9.0100 alpha=90.00 beta=90.00 gamma=90.00
Fractional positions:
Mg  0.0000  0.0000  0.0000
Mg  0.0000  0.5000  0.0000
Mg  0.0000  0.5000  0.5000
Mg  0.2450  0.2450  0.2510
Mg  0.2450  0.2450  0.7490
Mg  0.2450  0.7550  0.2510
Mg  0.2450  0.7550  0.7490
Mg  0.5000  0.0000  0.0000
Mg  0.5000  0.0000  0.5000
Mg  0.5000  0.5000  0.0000
Mg  0.7550  0.2450  0.2510
Mg  0.7550  0.2450  0.7490
Mg  0.7550  0.7550  0.2510
Mg  0.7550  0.7550  0.7490
Al  0.0000  0.0000  0.5000
Pb  0.5000  0.5000  0.5000

Calculated values
energy: -1.860 eV/atom
SG: P4/mmm
formation energy: 0.0009 eV/atom

***

Question: The lowest formation energy belongs to which entry?
Answer: Mg16Al12Pb

***

Question: What is the formula in the first record?
Answer: Mg8AlPb2